(1)
## SrSmAlIn (GGA-PBE)

Data for an optimized crystal structure of SrSmAlIn.

## Properties
* crystal system: cubic
* DOS(E_F): 0.815 states/eV per atom
* electronic total energy: -3.50 eV/atom

Cell: 7.753 7.753 7.753 Å, 90.00 90.00 90.00°
Space group F-43m (No. 216)
One atom of each set of equivalent atoms:
Sr: 0.000 0.000 0.000 [4 per cell]
Sm: 0.000 0.000 0.500 [4 per cell]
Al: 0.250 0.250 0.750 [4 per cell]
In: 0.250 0.250 0.250 [4 per cell]

=====

(2)
## SmThAlIn (GGA-PBE)

Data for an optimized crystal structure of SmThAlIn.

## Properties
* crystal system: cubic
* DOS(E_F): 0.894 states/eV per atom
* electronic total energy: -4.92 eV/atom

Cell: 7.582 7.582 7.582 Å, 90.00 90.00 90.00°
Space group F-43m (No. 216)
One atom of each set of equivalent atoms:
Sm: 0.000 0.000 0.000 [4 per cell]
Th: 0.000 0.000 0.500 [4 per cell]
Al: 0.250 0.250 0.250 [4 per cell]
In: 0.250 0.250 0.750 [4 per cell]

=====

(3)
## SmTmAlIn (GGA-PBE)

Data for an optimized crystal structure of SmTmAlIn.

## Properties
* crystal system: tetragonal
* DOS(E_F): 0.531 states/eV per atom
* electronic total energy: -4.33 eV/atom

Cell: 3.666 3.666 7.523 Å, 90.00 90.00 90.00°
Space group P4mm (No. 99)
One atom of each set of equivalent atoms:
Sm: 0.000 0.000 0.000 [1 per cell]
Tm: 0.000 0.000 0.478 [1 per cell]
Al: 0.500 0.500 0.251 [1 per cell]
In: 0.500 0.500 0.726 [1 per cell]

=====

(4)
## SmTmAlIn (GGA-PBE)

Data for an optimized crystal structure of SmTmAlIn.

## Properties
* crystal system: cubic
* DOS(E_F): 0.396 states/eV per atom
* electronic total energy: -4.32 eV/atom

Cell: 7.408 7.408 7.408 Å, 90.00 90.00 90.00°
Space group F-43m (No. 216)
One atom of each set of equivalent atoms:
Sm: 0.000 0.000 0.000 [4 per cell]
Tm: 0.000 0.000 0.500 [4 per cell]
Al: 0.250 0.250 0.250 [4 per cell]
In: 0.250 0.250 0.750 [4 per cell]

=====

(5)
## SmYAlIn (GGA-PBE)

Data for an optimized crystal structure of SmYAlIn.

## Properties
* crystal system: cubic
* DOS(E_F): 0.362 states/eV per atom
* electronic total energy: -4.85 eV/atom

Cell: 7.454 7.454 7.454 Å, 90.00 90.00 90.00°
Space group F-43m (No. 216)
One atom of each set of equivalent atoms:
Sm: 0.000 0.000 0.000 [4 per cell]
Y: 0.000 0.000 0.500 [4 per cell]
Al: 0.250 0.250 0.250 [4 per cell]
In: 0.250 0.250 0.750 [4 per cell]

=====

(6)
## SmYAlIn (GGA-PBE)

Data for an optimized crystal structure of SmYAlIn.

## Properties
* crystal system: tetragonal
* DOS(E_F): 0.542 states/eV per atom
* electronic total energy: -4.86 eV/atom

Cell: 3.694 3.694 7.571 Å, 90.00 90.00 90.00°
Space group P4mm (No. 99)
One atom of each set of equivalent atoms:
Sm: 0.000 0.000 0.000 [1 per cell]
Y: 0.000 0.000 0.479 [1 per cell]
Al: 0.500 0.500 0.246 [1 per cell]
In: 0.500 0.500 0.732 [1 per cell]